Record 1
## Be2InAg (PBE)

Data for a geometry-optimized Be2InAg structure.

As for the total magnetization: 0.00 Bohr magnetons per cell. As for the energy: -11.3 eV/f.u. For the calculated volume, the calculation gives 14.81 Å³/atom. Its energy of formation from the pure elements is 0.446 eV/atom. As for the density of states at the Fermi level: 1.4 states/eV/f.u.

The space group is I-4m2 (No. 119) and the conventional cell measures 3.8345, 3.8345 and 8.0574 Å, with angles of 90.00, 90.00 and 90.00 degrees. The distinct sites, in fractional coordinates, are Be at (0.0000, 0.0000, 0.0000), Be at (0.0000, 0.5000, 0.2500), In at (0.0000, 0.5000, 0.7500) and Ag at (0.0000, 0.0000, 0.5000).

Record 2
## BeIn2Ag (PBE)

Data for a geometry-optimized BeIn2Ag structure.

As for the total magnetization: 0.00 Bohr magnetons per cell. As for the energy: -11.1 eV/f.u. For the calculated volume, the calculation gives 19.82 Å³/atom. Its energy of formation from the pure elements is 0.228 eV/atom. As for the density of states at the Fermi level: 1.9 states/eV/f.u.

The space group is P4mm (No. 99) and the conventional cell measures 3.1219, 3.1219 and 8.1326 Å, with angles of 90.00, 90.00 and 90.00 degrees. The distinct sites, in fractional coordinates, are Be at (0.0000, 0.0000, 0.0000), In at (0.0000, 0.0000, 0.5770), In at (0.5000, 0.5000, 0.2369) and Ag at (0.5000, 0.5000, 0.8571).

Record 3
## BeIn2Ag (PBE)

Data for a geometry-optimized BeIn2Ag structure.

As for the total magnetization: 0.00 Bohr magnetons per cell. As for the energy: -11.0 eV/f.u. For the calculated volume, the calculation gives 19.82 Å³/atom. Its energy of formation from the pure elements is 0.262 eV/atom. As for the density of states at the Fermi level: 1.5 states/eV/f.u.

The space group is R3m (No. 160, hexagonal axes) and the conventional cell measures 3.2776, 3.2776 and 25.5667 Å, with angles of 90.00, 90.00 and 120.00 degrees. The distinct sites, in fractional coordinates, are Be at (0.0000, 0.0000, 0.0000), In at (0.0000, 0.0000, 0.2582), In at (0.0000, 0.0000, 0.4869) and Ag at (0.0000, 0.0000, 0.7282).

Record 4
## Be4InAg (PBE)

Data for a geometry-optimized Be4InAg structure.

As for the total magnetization: 0.00 Bohr magnetons per cell. As for the energy: -19.1 eV/f.u. For the calculated volume, the calculation gives 11.99 Å³/atom. Its energy of formation from the pure elements is 0.233 eV/atom. As for the density of states at the Fermi level: 1.5 states/eV/f.u.

The space group is F-43m (No. 216) and the conventional cell measures 6.6024, 6.6024 and 6.6024 Å, with angles of 90.00, 90.00 and 90.00 degrees. The distinct sites, in fractional coordinates, are Be at (0.1245, 0.1245, 0.3755), In at (0.0000, 0.0000, 0.0000) and Ag at (0.2500, 0.2500, 0.7500).

Record 5
## BeIn2Ag (PBE)

Data for a geometry-optimized BeIn2Ag structure.

As for the total magnetization: 0.00 Bohr magnetons per cell. As for the energy: -10.2 eV/f.u. For the calculated volume, the calculation gives 20.44 Å³/atom. Its energy of formation from the pure elements is 0.465 eV/atom. As for the density of states at the Fermi level: 0.7 states/eV/f.u.

The space group is F-43m (No. 216) and the conventional cell measures 6.8892, 6.8892 and 6.8892 Å, with angles of 90.00, 90.00 and 90.00 degrees. The distinct sites, in fractional coordinates, are Be at (0.0000, 0.0000, 0.0000), In at (0.0000, 0.0000, 0.5000), In at (0.2500, 0.2500, 0.7500) and Ag at (0.2500, 0.2500, 0.2500).

Record 6
## Be2InAg (PBE)

Data for a geometry-optimized Be2InAg structure.

As for the total magnetization: 0.00 Bohr magnetons per cell. As for the energy: -11.5 eV/f.u. For the calculated volume, the calculation gives 15.03 Å³/atom. Its energy of formation from the pure elements is 0.383 eV/atom. As for the density of states at the Fermi level: 1.0 states/eV/f.u.

The space group is Cm (No. 8) and the conventional cell measures 8.6864, 3.1735 and 4.4890 Å, with angles of 90.00, 103.64 and 90.00 degrees. The distinct sites, in fractional coordinates, are Be at (0.0000, 0.0000, 0.0000), Be at (0.2119, 0.5000, 0.2043), In at (0.2323, 0.0000, 0.7372) and Ag at (0.4579, 0.0000, 0.3887).

Record 7
## Be2InAg (PBE)

Data for a geometry-optimized Be2InAg structure.

As for the total magnetization: 0.00 Bohr magnetons per cell. As for the energy: -11.6 eV/f.u. For the calculated volume, the calculation gives 14.93 Å³/atom. Its energy of formation from the pure elements is 0.357 eV/atom. As for the density of states at the Fermi level: 0.9 states/eV/f.u.

The space group is Pm (No. 6) and the conventional cell measures 3.0647, 3.9891 and 4.9678 Å, with angles of 90.00, 100.56 and 90.00 degrees. The distinct sites, in fractional coordinates, are Be at (0.0000, 0.0000, 0.0000), Be at (0.1036, 0.5000, 0.2442), In at (0.6520, 0.0000, 0.4549) and Ag at (0.4734, 0.5000, 0.8460).

Record 8
## LiBeInAg (PBE)

Data for a geometry-optimized LiBeInAg structure.

As for the total magnetization: 0.00 Bohr magnetons per cell. As for the energy: -11.2 eV/f.u. For the calculated volume, the calculation gives 15.25 Å³/atom. Its energy of formation from the pure elements is 0.001 eV/atom. As for the density of states at the Fermi level: 0.8 states/eV/f.u.

The space group is F-43m (No. 216) and the conventional cell measures 6.2494, 6.2494 and 6.2494 Å, with angles of 90.00, 90.00 and 90.00 degrees. The distinct sites, in fractional coordinates, are Li at (0.0000, 0.0000, 0.0000), Be at (0.0000, 0.0000, 0.5000), In at (0.2500, 0.2500, 0.7500) and Ag at (0.2500, 0.2500, 0.2500).

Record 9
## Be2InAgP (PBE)

Data for a geometry-optimized Be2InAgP structure.

As for the total magnetization: 0.00 Bohr magnetons per cell. As for the energy: -15.9 eV/f.u. For the calculated volume, the calculation gives 19.71 Å³/atom. Its energy of formation from the pure elements is 0.501 eV/atom. As for the density of states at the Fermi level: 2.7 states/eV/f.u.

The space group is P4/mmm (No. 123) and the conventional cell measures 4.0094, 4.0094 and 6.1309 Å, with angles of 90.00, 90.00 and 90.00 degrees. The distinct sites, in fractional coordinates, are Be at (0.0000, 0.5000, 0.0000), In at (0.0000, 0.0000, 0.5000), Ag at (0.5000, 0.5000, 0.5000) and P at (0.0000, 0.0000, 0.0000).

Record 10
## BeInAgRh2 (PBE)

Data for a geometry-optimized BeInAgRh2 structure.

As for the total magnetization: 0.00 Bohr magnetons per cell. As for the energy: -19.1 eV/f.u. For the calculated volume, the calculation gives 19.55 Å³/atom. Its energy of formation from the pure elements is 0.990 eV/atom. As for the density of states at the Fermi level: 2.4 states/eV/f.u.

The space group is P4/mmm (No. 123) and the conventional cell measures 4.9045, 4.9045 and 4.0628 Å, with angles of 90.00, 90.00 and 90.00 degrees. The distinct sites, in fractional coordinates, are Be at (0.0000, 0.0000, 0.0000), In at (0.5000, 0.5000, 0.0000), Ag at (0.0000, 0.0000, 0.5000) and Rh at (0.0000, 0.5000, 0.5000).

Record 11
## BeAgIr2 (PBE)

Data for a geometry-optimized BeAgIr2 structure.

As for the total magnetization: 0.00 Bohr magnetons per cell. As for the energy: -23.9 eV/f.u. For the calculated volume, the calculation gives 13.94 Å³/atom. Its energy of formation from the pure elements is 0.089 eV/atom. As for the density of states at the Fermi level: 3.2 states/eV/f.u.

The space group is R3m (No. 160, hexagonal axes) and the conventional cell measures 2.7478, 2.7478 and 25.5741 Å, with angles of 90.00, 90.00 and 120.00 degrees. The distinct sites, in fractional coordinates, are Be at (0.0000, 0.0000, 0.0000), Ag at (0.0000, 0.0000, 0.2531), Ir at (0.0000, 0.0000, 0.4903) and Ir at (0.0000, 0.0000, 0.7359).

Record 12
## BeAgIr2 (PBE)

Data for a geometry-optimized BeAgIr2 structure.

As for the total magnetization: 0.00 Bohr magnetons per cell. As for the energy: -24.4 eV/f.u. For the calculated volume, the calculation gives 13.75 Å³/atom. Its energy of formation from the pure elements is -0.034 eV/atom. As for the density of states at the Fermi level: 2.9 states/eV/f.u.

The space group is Immm (No. 71) and the conventional cell measures 2.7555, 4.4432 and 8.9854 Å, with angles of 90.00, 90.00 and 90.00 degrees. The distinct sites, in fractional coordinates, are Be at (0.0000, 0.0000, 0.0000), Ag at (0.0000, 0.0000, 0.5000) and Ir at (0.0000, 0.5000, 0.2877).

- Which formula does entry 2 have?
  BeIn2Ag